An optimized crystal structure of Mn2CuPbF8. Source: Alexandria via LeMat-Bulk, functional PBE with a Hubbard U.

Results
D(E_F) (states/eV per atom): 0.268
Total magnetic moment (μB/cell): 10.9
Calculated density (g/cm3): 4.9
Calculated total energy (eV/atom): -5.4101
Crystal system: monoclinic
Symmetry: P2/m

a b c (Å): 5.1543 5.1684 6.8135
angles (deg): 89.99 89.98 87.19
With the nearest neighbours (Å) after each atom.
Sites, in units of the cell vectors:
F (0.3269, 0.3334, 0.5001)  2 Mn 2.22, 1 Pb 2.47
F (0.3102, 0.3160, 0.0001)  2 Mn 2.11, 1 Cu 2.34
F (0.1973, 0.8083, 0.2062)  1 Cu 1.97, 1 Mn 2.18
F (0.8027, 0.1917, 0.7938)  1 Cu 1.97, 1 Mn 2.18
F (0.1975, 0.8085, 0.7938)  1 Cu 1.97, 1 Mn 2.18
F (0.8025, 0.1915, 0.2062)  1 Cu 1.97, 1 Mn 2.18
F (0.6898, 0.6840, 0.9999)  2 Mn 2.11, 1 Cu 2.34
F (0.6731, 0.6666, 0.4999)  2 Mn 2.22, 1 Pb 2.47
Cu (0.0000, 0.0000, 0.0000)  4 F 1.97
Mn (0.5000, 0.5000, 0.2330)  6 F 2.11-2.22
Mn (0.5000, 0.5000, 0.7670)  6 F 2.11-2.22
Pb (0.0000, 0.0000, 0.5000)  6 F 2.43-2.47